1.
VASP calculation (SCAN) on a crystal of NaZnSb2 relaxed with PBEsol.

Unit cell a=5.2837 b=5.2837 c=17.3368 alpha=90.00 beta=90.00 gamma=90.00
With the nearest neighbours (Å) after each atom.
Atoms (fractional coordinates):
Na  0.0000  0.0000  0.0000  4 Sb 3.17
Na  0.0000  0.5000  0.2500  4 Sb 3.17
Na  0.5000  0.0000  0.7500  4 Sb 3.17
Na  0.5000  0.5000  0.5000  4 Sb 3.17
Zn  0.0000  0.0000  0.5000  4 Sb 2.65
Zn  0.0000  0.5000  0.7500  4 Sb 2.65
Zn  0.5000  0.0000  0.2500  4 Sb 2.65
Zn  0.5000  0.5000  0.0000  4 Sb 2.65
Sb  0.1417  0.2500  0.6250  2 Zn 2.65
Sb  0.2500  0.6417  0.8750  2 Zn 2.65
Sb  0.2500  0.8583  0.3750  2 Zn 2.65
Sb  0.3583  0.2500  0.1250  2 Zn 2.65
Sb  0.6417  0.7500  0.1250  2 Zn 2.65
Sb  0.7500  0.1417  0.3750  2 Zn 2.65
Sb  0.7500  0.3583  0.8750  2 Zn 2.65
Sb  0.8583  0.7500  0.6250  2 Zn 2.65

Results
total magnetization: 0.000 μB/f.u.
space-group type: I-42d (122)
formation energy (no corrections): -0.061 eV per atom

---

2.
VASP calculation (SCAN) on a crystal of NaZn3Sb relaxed with PBEsol.

Unit cell a=5.2914 b=5.2914 c=5.2914 alpha=90.00 beta=90.00 gamma=90.00
With the nearest neighbours (Å) after each atom.
Atoms (fractional coordinates):
Na  0.0000  0.0000  0.0000  12 Zn 3.74
Zn  0.0000  0.5000  0.5000  2 Sb 2.65
Zn  0.5000  0.0000  0.5000  2 Sb 2.65
Zn  0.5000  0.5000  0.0000  2 Sb 2.65
Sb  0.5000  0.5000  0.5000  6 Zn 2.65

Results
total magnetization: 0.000 μB/f.u.
space-group type: Pm-3m (221)
formation energy (no corrections): 0.446 eV per atom

---

3.
VASP calculation (SCAN) on a crystal of NaZn2Sb2 relaxed with PBEsol.

Unit cell a=4.0048 b=4.0048 c=15.3169 alpha=90.00 beta=90.00 gamma=90.00
With the nearest neighbours (Å) after each atom.
Atoms (fractional coordinates):
Na  0.0000  0.0000  0.0000  8 Sb 3.47
Na  0.5000  0.5000  0.5000  8 Sb 3.47
Zn  0.0000  0.5000  0.2500  4 Sb 2.71, 4 Zn 2.83
Zn  0.0000  0.5000  0.7500  4 Sb 2.71, 4 Zn 2.83
Zn  0.5000  0.0000  0.2500  4 Sb 2.71, 4 Zn 2.83
Zn  0.5000  0.0000  0.7500  4 Sb 2.71, 4 Zn 2.83
Sb  0.0000  0.0000  0.3692  4 Zn 2.71
Sb  0.0000  0.0000  0.6308  4 Zn 2.71
Sb  0.5000  0.5000  0.1308  4 Zn 2.71
Sb  0.5000  0.5000  0.8692  4 Zn 2.71

Results
total magnetization: 0.000 μB/f.u.
space-group type: I4/mmm (139)
formation energy (no corrections): -0.193 eV per atom

---

4.
VASP calculation (SCAN) on a crystal of NaScSe2 relaxed with PBEsol.

Unit cell a=6.9200 b=6.9200 c=9.4402 alpha=90.00 beta=90.00 gamma=90.00
With the nearest neighbours (Å) after each atom.
Atoms (fractional coordinates):
Na  0.0000  0.0000  0.0000  4 Se 2.90
Na  0.0000  0.5000  0.2500  4 Se 2.90
Na  0.5000  0.0000  0.7500  4 Se 2.90
Na  0.5000  0.5000  0.5000  4 Se 2.90
Sc  0.0000  0.0000  0.5000  4 Se 2.55
Sc  0.0000  0.5000  0.7500  4 Se 2.55
Sc  0.5000  0.0000  0.2500  4 Se 2.55
Sc  0.5000  0.5000  0.0000  4 Se 2.55
Se  0.2104  0.2500  0.6250  2 Sc 2.55
Se  0.2500  0.7104  0.8750  2 Sc 2.55
Se  0.2500  0.7896  0.3750  2 Sc 2.55
Se  0.2896  0.2500  0.1250  2 Sc 2.55
Se  0.7104  0.7500  0.1250  2 Sc 2.55
Se  0.7500  0.2104  0.3750  2 Sc 2.55
Se  0.7500  0.2896  0.8750  2 Sc 2.55
Se  0.7896  0.7500  0.6250  2 Sc 2.55

Results
total magnetization: 0.000 μB/f.u.
space-group type: I-42d (122)
formation energy (no corrections): -1.584 eV per atom

---

5.
VASP calculation (SCAN) on a crystal of NaSc3Si relaxed with PBEsol.

Unit cell a=4.9036 b=4.9036 c=4.9036 alpha=90.00 beta=90.00 gamma=90.00
With the nearest neighbours (Å) after each atom.
Atoms (fractional coordinates):
Na  0.0000  0.0000  0.0000  6 Sc 2.45
Sc  0.0000  0.0000  0.5000  2 Na 2.45
Sc  0.0000  0.5000  0.0000  2 Na 2.45
Sc  0.5000  0.0000  0.0000  2 Na 2.45
Si  0.5000  0.5000  0.5000  12 Sc 3.47

Results
total magnetization: 2.166 μB/f.u.
space-group type: Pm-3m (221)
formation energy (no corrections): 1.113 eV per atom

---

6.
VASP calculation (SCAN) on a crystal of Na2Sc2Si relaxed with PBEsol.

Unit cell a=3.9915 b=3.9915 c=16.4063 alpha=90.00 beta=90.00 gamma=90.00
With the nearest neighbours (Å) after each atom.
Atoms (fractional coordinates):
Na  0.0000  0.0000  0.0841  1 Na 2.76
Na  0.0000  0.0000  0.9159  1 Na 2.76
Na  0.5000  0.5000  0.4159  1 Na 2.76
Na  0.5000  0.5000  0.5841  1 Na 2.76
Sc  0.0000  0.5000  0.2500  4 Sc 2.82
Sc  0.0000  0.5000  0.7500  4 Sc 2.82
Sc  0.5000  0.0000  0.2500  4 Sc 2.82
Sc  0.5000  0.0000  0.7500  4 Sc 2.82
Si  0.0000  0.0000  0.5000  8 Na 3.14
Si  0.5000  0.5000  0.0000  8 Na 3.14

Results
total magnetization: 0.002 μB/f.u.
space-group type: I4/mmm (139)
formation energy (no corrections): 0.760 eV per atom

---

7.
VASP calculation (SCAN) on a crystal of NaSr2ScSi relaxed with PBEsol.

Unit cell a=5.7988 b=5.7988 c=4.9850 alpha=90.00 beta=90.00 gamma=90.00
With the nearest neighbours (Å) after each atom.
Atoms (fractional coordinates):
Na  0.0000  0.0000  0.0000  2 Si 2.49
Sr  0.0000  0.5000  0.0000  2 Na 2.90
Sr  0.5000  0.0000  0.0000  2 Na 2.90
Sc  0.5000  0.5000  0.5000  8 Sr 3.82, 4 Si 4.10
Si  0.0000  0.0000  0.5000  2 Na 2.49

Results
total magnetization: 1.781 μB/f.u.
space-group type: P4/mmm (123)
formation energy (no corrections): 0.678 eV per atom

---

8.
VASP calculation (SCAN) on a crystal of NaSc3Sn relaxed with PBEsol.

Unit cell a=5.0017 b=5.0017 c=5.0017 alpha=90.00 beta=90.00 gamma=90.00
With the nearest neighbours (Å) after each atom.
Atoms (fractional coordinates):
Na  0.0000  0.0000  0.0000  6 Sc 2.50
Sc  0.0000  0.0000  0.5000  2 Na 2.50
Sc  0.0000  0.5000  0.0000  2 Na 2.50
Sc  0.5000  0.0000  0.0000  2 Na 2.50
Sn  0.5000  0.5000  0.5000  12 Sc 3.54

Results
total magnetization: 2.104 μB/f.u.
space-group type: Pm-3m (221)
ΔH_f (0 K): 0.753 eV/atom

---

> Which of these has the highest total magnetization?

NaSc3Si